Record 1
First-principles (PBE) data for a relaxed Hf2NbCoH crystal, as listed in Alexandria via LeMat-Bulk.

Geometry as POSCAR:
```
Hf2NbCoH
1.0
4.6018 0.0000 0.0000
0.0000 4.6018 0.0000
0.0000 0.0000 3.4444
Hf Co H Nb
2 1 1 1
Cartesian
2.3009 0.0000 0.0000
0.0000 2.3009 0.0000
0.0000 0.0000 1.7222
0.0000 0.0000 0.0000
2.3009 2.3009 1.7222
```

Output
raw total energy	-41.20	eV for the cell shown
space group	P4/mmm, No. 123

Record 2
First-principles (PBE) data for a relaxed GeB crystal, as listed in Alexandria via LeMat-Bulk.

Geometry as POSCAR:
```
GeB
1.0
8.6602 0.0000 0.0000
0.0000 9.0092 0.0000
0.0000 0.0000 7.2766
Ge B
16 16
Cartesian
0.6486 2.2523 5.4574
8.0116 2.2523 1.8191
3.6815 2.2523 5.4574
5.8465 0.0000 3.6383
0.6486 6.7569 1.8191
5.8465 4.5046 0.0000
2.8136 0.0000 3.6383
7.1437 4.5046 3.6383
3.6815 6.7569 1.8191
4.9787 6.7569 5.4574
4.9787 2.2523 1.8191
8.0116 6.7569 5.4574
1.5164 0.0000 0.0000
2.8136 4.5046 0.0000
7.1437 0.0000 0.0000
1.5164 4.5046 3.6383
2.1650 8.3419 1.8191
0.0000 6.0896 3.6383
6.4951 3.8373 1.8191
2.1650 0.6673 5.4574
0.0000 7.4243 0.0000
4.3301 7.4243 3.6383
2.1650 3.8373 5.4574
4.3301 2.9197 0.0000
6.4951 8.3419 5.4574
6.4951 0.6673 1.8191
2.1650 5.1720 1.8191
4.3301 6.0896 0.0000
0.0000 1.5850 0.0000
4.3301 1.5850 3.6383
6.4951 5.1720 5.4574
0.0000 2.9197 3.6383
```

Output
raw total energy	-155.90	eV for the cell shown
space group	Fddd, No. 70
energy relative to the lowest polymorph listed for this composition	0.80	eV per formula unit
formation energy from the elements	775	meV per atom

Record 3
First-principles (PBE) data for a relaxed PmPuSn crystal, as listed in Alexandria via LeMat-Bulk.

Geometry as POSCAR:
```
PmPuSn
1.0
5.4619 -0.9351 0.0000
-1.9190 5.1985 0.0000
0.0000 0.0000 6.3949
Sn Pm Pu
2 2 2
Cartesian
0.5408 3.1545 4.7962
3.0022 1.1090 1.5987
0.5411 3.1542 1.5987
3.0019 1.1092 4.7962
0.0000 0.0000 0.0000
0.0000 0.0000 3.1975
```

Output
raw total energy	-48.99	eV for the cell shown
space group	P6_3/mmc, No. 194
energy relative to the lowest polymorph listed for this composition	0.00	eV per formula unit
formation energy from the elements	-470	meV per atom

Record 4
First-principles (PBE) data for a relaxed K2TiTe crystal, as listed in Alexandria via LeMat-Bulk.

Geometry as POSCAR:
```
K2TiTe
1.0
2.2354 -4.9015 -2.4117
1.2352 -4.6636 3.4004
-3.3020 -4.8784 -0.3687
Ti K Te
1 2 1
Cartesian
0.0000 0.0000 0.0000
0.1265 -10.8326 0.4650
0.0422 -3.6109 0.1550
0.0843 -7.2217 0.3100
```

Output
raw total energy	-11.94	eV for the cell shown
formation energy without anion corrections	0.32	eV/atom
space group	Fm-3m, No. 225
energy relative to the lowest polymorph listed for this composition	0.98	eV per formula unit

Record 5
First-principles (PBE) data for a relaxed TeAsAu2 crystal, as listed in Alexandria via LeMat-Bulk.

Geometry as POSCAR:
```
TeAsAu2
1.0
3.0897 0.0000 0.0000
0.0000 3.0897 0.0000
0.0000 0.0000 9.1929
Au As Te
2 1 1
Cartesian
0.0000 0.0000 9.1658
1.5448 1.5448 1.9918
1.5448 1.5448 7.4331
0.0000 0.0000 4.3916
```

Output
raw total energy	-13.37	eV for the cell shown
formation energy without anion corrections	0.24	eV/atom
space group	P4mm, No. 99
energy relative to the lowest polymorph listed for this composition	0.93	eV per formula unit

Record 6
First-principles (PBE) data for a relaxed K2RbSbBr6 crystal, as listed in Alexandria via LeMat-Bulk.

Geometry as POSCAR:
```
K2RbSbBr6
1.0
8.2083 0.0005 0.0007
4.1046 7.1072 -0.0001
4.1044 2.3691 7.1348
Br Rb Sb K
6 1 1 2
Cartesian
6.5156 2.1233 1.7238
9.3433 6.6452 5.5666
9.2940 2.8027 5.5666
6.7890 7.5108 1.7228
5.9905 4.7668 5.5659
11.3193 4.5815 1.7235
12.3128 7.1074 4.0021
4.1043 2.3691 0.1789
8.2087 4.7383 2.9363
4.1044 2.3696 6.7988
```

Output
raw total energy	-30.37	eV for the cell shown
formation energy without anion corrections	-1.30	eV/atom
space group	R3, No. 146
energy relative to the lowest polymorph listed for this composition	0.00	eV per formula unit

Record 7
First-principles (PBE) data for a relaxed TaPtW3 crystal, as listed in Alexandria via LeMat-Bulk.

Geometry as POSCAR:
```
TaPtW3
1.0
4.7125 0.0000 0.0000
0.0000 4.7125 0.0000
0.0000 0.0000 4.7125
W Ta Pt
3 1 1
Cartesian
0.0000 2.3563 0.0000
0.0000 0.0000 2.3563
2.3563 0.0000 0.0000
0.0000 0.0000 0.0000
2.3563 2.3563 2.3563
```

Output
raw total energy	-45.33	eV for the cell shown
space group	Pm-3m, No. 221
energy relative to the lowest polymorph listed for this composition	0.98	eV per formula unit
formation energy from the elements	2284	meV per atom